Crystalline MnAl2In at its relaxed geometry, computed with PBE.

Properties
energy of formation	0.4	eV per formula unit
final energy	-19.0	eV per cell

Unit cell a=2.8820 b=2.8821 c=8.2781 alpha=90.00 beta=90.00 gamma=89.95
Last column: nearest neighbours and their distance in Å.
Sites, in units of the cell vectors:
Mn: 0.5000 0.5000 0.7749  4 Al 2.62, 4 Mn 2.88, 4 In 2.89
Al: 0.5000 0.5000 0.2239  8 Al 2.88-2.90
Al: 0.0000 0.0000 0.9742  4 Mn 2.62, 8 Al 2.88-2.90
In: 0.0000 0.0000 0.5270  4 In 2.88, 4 Mn 2.89



Crystalline PPtCl3 at its relaxed geometry, computed with PBE.

Properties
formation energy from raw total energies	0.478	eV/atom
final energy	-14.6	eV per cell

Unit cell a=4.8875 b=4.8875 c=4.8875 alpha=90.00 beta=90.00 gamma=90.00
Last column: nearest neighbours and their distance in Å.
Sites, in units of the cell vectors:
Cl: 0.0000 0.0000 0.5000  2 Pt 2.44
Cl: 0.0000 0.5000 0.0000  2 Pt 2.44
Cl: 0.5000 0.0000 0.0000  2 Pt 2.44
P: 0.5000 0.5000 0.5000  12 Cl 3.46
Pt: 0.0000 0.0000 0.0000  6 Cl 2.44



Crystalline Ca2GaGe2 at its relaxed geometry, computed with PBE.

Properties
energy of formation	-2.5	eV per formula unit
final energy	-37.4	eV per cell

Unit cell a=4.2865 b=7.1388 c=8.4459 alpha=90.00 beta=104.70 gamma=90.00
Last column: nearest neighbours and their distance in Å.
Sites, in units of the cell vectors:
Ca: 0.0263 0.2266 0.0526  5 Ge 2.98-3.05, 2 Ga 3.08
Ca: 0.7938 0.4164 0.5876  5 Ge 3.00-3.13
Ca: 0.9737 0.7266 0.9474  5 Ge 2.98-3.05, 2 Ga 3.08
Ca: 0.2062 0.9164 0.4124  5 Ge 3.00-3.13
Ge: 0.1689 0.4869 0.3378  2 Ga 2.56
Ge: 0.5674 0.9381 0.1348  2 Ga 2.68-2.73
Ge: 0.8311 0.9869 0.6622  2 Ga 2.56
Ge: 0.4326 0.4381 0.8652  2 Ga 2.68-2.73
Ga: 0.5900 0.5664 0.1800  4 Ge 2.56-2.73
Ga: 0.4100 0.0664 0.8200  4 Ge 2.56-2.73



Crystalline HPd3Pt at its relaxed geometry, computed with PBE.

Properties
final energy	-40.1	eV per cell

Unit cell a=4.7621 b=4.7621 c=9.6529 alpha=75.72 beta=75.72 gamma=90.00
Last column: nearest neighbours and their distance in Å.
Sites, in units of the cell vectors:
Pd: 0.1248 0.8764 0.2473  2 Pd 2.37-2.40, 2 Pt 2.53-2.58
Pd: 0.6280 0.8764 0.2473  2 Pd 2.37-2.40, 2 Pt 2.53-2.58
Pd: 0.1236 0.8752 0.7527  2 Pd 2.37-2.40, 2 Pt 2.53-2.58
Pd: 0.6666 0.6666 0.6668  2 H 2.41
Pd: 0.1236 0.3720 0.7527  2 Pd 2.37-2.40, 2 Pt 2.53-2.58
Pd: 0.3334 0.3334 0.3332  2 H 2.41
H: 0.8538 0.3538 0.2924  6 Pd 2.41-2.69
H: 0.6462 0.1462 0.7076  6 Pd 2.41-2.69
Pt: 0.2500 0.7500 0.5000  8 Pd 2.58-2.82
Pt: 0.0000 0.0000 0.0000  4 Pd 2.53



Crystalline NaAlCuSe3 at its relaxed geometry, computed with PBE.

Properties
formation energy from raw total energies	-0.620	eV/atom
final energy	-46.7	eV per cell

Unit cell a=3.7390 b=7.7335 c=10.0634 alpha=110.05 beta=90.00 gamma=90.00
Last column: nearest neighbours and their distance in Å.
Sites, in units of the cell vectors:
Se: 0.2500 0.5023 0.8196  3 Cu 2.52-2.67, 1 Al 2.61
Se: 0.2500 0.8013 0.5016  3 Al 2.45-2.68
Se: 0.2500 0.1103 0.8699  1 Al 2.45, 2 Cu 2.53
Se: 0.7500 0.8897 0.1301  1 Al 2.45, 2 Cu 2.53
Se: 0.7500 0.1987 0.4984  3 Al 2.45-2.68
Se: 0.7500 0.4977 0.1804  3 Cu 2.52-2.67, 1 Al 2.61
Cu: 0.7500 0.3417 0.8990  5 Se 2.52-2.67
Cu: 0.2500 0.6583 0.1010  5 Se 2.52-2.67
Na: 0.2500 0.2260 0.2346  6 Se 3.00-3.31
Na: 0.7500 0.7740 0.7654  6 Se 3.00-3.31
Al: 0.2500 0.1642 0.6440  5 Se 2.45-2.68
Al: 0.7500 0.8358 0.3560  5 Se 2.45-2.68



Crystalline SmYTe2 at its relaxed geometry, computed with PBE.

Properties
formation energy from raw total energies	-1.374	eV/atom
final energy	-23.0	eV per cell

Unit cell a=4.2715 b=4.2715 c=8.0633 alpha=74.64 beta=74.64 gamma=60.00
Last column: nearest neighbours and their distance in Å.
Sites, in units of the cell vectors:
Y: 0.6705 0.6705 0.9884  6 Te 3.03-3.14
Te: 0.0805 0.0805 0.7586  3 Y 3.03, 3 Sm 3.11
Te: 0.2527 0.2527 0.2419  3 Y 3.14, 3 Sm 3.22
Sm: 0.4963 0.4963 0.5111  6 Te 3.11-3.22



Crystalline Pm2Zn5Cu5 at its relaxed geometry, computed with PBE.

Properties
energy of formation	-3.0	eV per formula unit
final energy	-39.3	eV per cell

Unit cell a=4.0476 b=5.2929 c=9.3047 alpha=90.00 beta=90.00 gamma=90.00
Last column: nearest neighbours and their distance in Å.
Sites, in units of the cell vectors:
Zn: 0.0000 0.0000 0.1742  4 Cu 2.53, 2 Zn 2.59
Zn: 0.0000 0.5000 0.3334  6 Cu 2.53-2.55
Zn: 0.5000 0.0000 0.0000  4 Zn 2.59, 4 Cu 2.70
Zn: 0.0000 0.5000 0.6666  6 Cu 2.53-2.55
Zn: 0.0000 0.0000 0.8258  4 Cu 2.53, 2 Zn 2.59
Cu: 0.5000 0.2525 0.2516  5 Zn 2.53-2.70, 3 Cu 2.62-2.67
Cu: 0.5000 0.2525 0.7484  5 Zn 2.53-2.70, 3 Cu 2.62-2.67
Cu: 0.5000 0.7475 0.7484  5 Zn 2.53-2.70, 3 Cu 2.62-2.67
Cu: 0.5000 0.7475 0.2516  5 Zn 2.53-2.70, 3 Cu 2.62-2.67
Cu: 0.5000 0.5000 0.5000  4 Zn 2.55, 4 Cu 2.66
Pm: 0.0000 0.0000 0.5000  6 Zn 3.03-3.07, 12 Cu 3.33-3.35
Pm: 0.0000 0.5000 0.0000  10 Zn 3.10-3.33, 8 Cu 3.36



Crystalline MnV5Fe2Pt2 at its relaxed geometry, computed with PBE.

Properties
energy of formation	-0.9	eV per formula unit
final energy	-169.3	eV per cell

Unit cell a=2.8251 b=9.6748 c=9.6748 alpha=90.00 beta=90.00 gamma=90.00
Last column: nearest neighbours and their distance in Å.
Sites, in units of the cell vectors:
V: 0.5000 0.5674 0.6902  2 Fe 2.32, 2 Mn 2.41
V: 0.5000 0.8098 0.9326  2 Fe 2.32, 2 Mn 2.41
V: 0.5000 0.0674 0.8098  2 Fe 2.32, 2 Mn 2.41
V: 0.5000 0.9326 0.1902  2 Fe 2.32, 2 Mn 2.41
V: 0.5000 0.3098 0.5674  2 Fe 2.32, 2 Mn 2.41
V: 0.5000 0.0000 0.5000  4 Fe 2.28
V: 0.5000 0.1902 0.0674  2 Fe 2.32, 2 Mn 2.41
V: 0.5000 0.6902 0.4326  2 Fe 2.32, 2 Mn 2.41
V: 0.5000 0.5000 0.0000  4 Fe 2.28
V: 0.5000 0.4326 0.3098  2 Fe 2.32, 2 Mn 2.41
Mn: 0.0000 0.5000 0.5000  8 V 2.41
Mn: 0.0000 0.0000 0.0000  8 V 2.41
Pt: 0.0000 0.6728 0.1728  3 Fe 2.69-2.96, 6 V 2.75-2.89, 2 Pt 2.83
Pt: 0.0000 0.3272 0.8272  3 Fe 2.69-2.96, 6 V 2.75-2.89, 2 Pt 2.83
Pt: 0.0000 0.8272 0.6728  3 Fe 2.69-2.96, 6 V 2.75-2.89, 2 Pt 2.83
Pt: 0.0000 0.1728 0.3272  3 Fe 2.69-2.96, 6 V 2.75-2.89, 2 Pt 2.83
Fe: 0.0000 0.3694 0.1306  6 V 2.28-2.32
Fe: 0.0000 0.8694 0.3694  6 V 2.28-2.32
Fe: 0.0000 0.1306 0.6306  6 V 2.28-2.32
Fe: 0.0000 0.6306 0.8694  6 V 2.28-2.32



Crystalline GaAsAu2 at its relaxed geometry, computed with PBE.

Properties
energy of formation	0.5	eV per formula unit
final energy	-13.7	eV per cell

Unit cell a=2.9398 b=2.9398 c=10.3647 alpha=81.85 beta=81.85 gamma=60.00
Last column: nearest neighbours and their distance in Å.
Sites, in units of the cell vectors:
Au: 0.9135 0.9135 0.2595  1 Ga 2.65, 6 Au 2.94
Au: 0.0865 0.0865 0.7405  1 Ga 2.65, 6 Au 2.94
Ga: 0.0000 0.0000 0.0000  2 Au 2.65, 6 Ga 2.94
As: 0.5000 0.5000 0.5000  6 As 2.94, 6 Au 2.99



Crystalline TbDyNi at its relaxed geometry, computed with PBE.

Properties
energy of formation	-0.7	eV per formula unit
final energy	-31.4	eV per cell

Unit cell a=3.4022 b=6.8702 c=6.6500 alpha=104.98 beta=104.82 gamma=89.98
Last column: nearest neighbours and their distance in Å.
Sites, in units of the cell vectors:
Tb: 0.5695 0.6172 0.9056  4 Ni 2.93, 1 Tb 3.24
Tb: 0.3082 0.4866 0.3833  4 Ni 2.93, 1 Tb 3.24
Ni: 0.9389 0.2971 0.6441  4 Dy 2.89, 4 Tb 2.93
Ni: 0.9391 0.8070 0.6447  4 Dy 2.89, 4 Tb 2.93
Dy: 0.3078 0.9862 0.3824  4 Ni 2.89
Dy: 0.5700 0.1176 0.9064  4 Ni 2.89



Crystalline MnAlIn2 at its relaxed geometry, computed with PBE.

Properties
energy of formation	0.6	eV per formula unit
final energy	-17.8	eV per cell

Unit cell a=6.6552 b=6.6552 c=4.7172 alpha=69.19 beta=69.19 gamma=24.89
Last column: nearest neighbours and their distance in Å.
Sites, in units of the cell vectors:
Mn: 0.4924 0.4924 0.5076  2 Al 2.59, 6 In 2.76-2.86, 2 Mn 2.87
Al: 0.8148 0.8148 0.6854  2 Mn 2.59, 2 Al 2.87
In: 0.9959 0.9959 0.0041  4 Mn 2.76, 2 In 2.87
In: 0.1970 0.1970 0.3029  2 Mn 2.86, 2 In 2.87, 4 Al 3.10-3.11